Record 1
DFT (PBEsol) results for an optimized crystal structure of Y11In9Ni4.

Lattice parameters (Å, degrees): 3.5958 12.8348 12.8348 112.64 90.00 90.00
Last column: nearest neighbours and their distance in Å.
Fractional coordinates of all 24 atoms:
Y (0.0000, 0.0788, 0.4165)  2 Ni 2.72
Y (0.0000, 0.9212, 0.5835)  2 Ni 2.72
Y (0.0000, 0.4165, 0.0788)  2 Ni 2.72
Y (0.0000, 0.5835, 0.9212)  2 Ni 2.72
Y (0.0000, 0.6259, 0.3741)  4 Ni 2.86
Y (0.0000, 0.3741, 0.6259)  4 Ni 2.86
Y (0.0000, 0.8392, 0.1608)  8 In 3.21-3.37, 3 Y 3.44-3.53
Y (0.0000, 0.1608, 0.8392)  8 In 3.21-3.37, 3 Y 3.44-3.53
Y (0.0000, 0.0000, 0.0000)  8 In 3.16, 2 Y 3.44
Y (0.0000, 0.3118, 0.3118)  4 Ni 2.85
Y (0.0000, 0.6882, 0.6882)  4 Ni 2.85
In (0.5000, 0.8411, 0.3683)  1 Ni 2.97, 1 In 2.98, 6 Y 3.12-3.32
In (0.5000, 0.1589, 0.6317)  1 Ni 2.97, 1 In 2.98, 6 Y 3.12-3.32
In (0.5000, 0.3683, 0.8411)  1 Ni 2.97, 1 In 2.98, 6 Y 3.12-3.32
In (0.5000, 0.6317, 0.1589)  1 Ni 2.97, 1 In 2.98, 6 Y 3.12-3.32
In (0.5000, 0.0775, 0.2194)  1 Ni 2.92, 1 In 3.03, 4 Y 3.10-3.16
In (0.5000, 0.9225, 0.7806)  1 Ni 2.92, 1 In 3.03, 4 Y 3.10-3.16
In (0.5000, 0.2194, 0.0775)  1 Ni 2.92, 1 In 3.03, 4 Y 3.10-3.16
In (0.5000, 0.7806, 0.9225)  1 Ni 2.92, 1 In 3.03, 4 Y 3.10-3.16
In (0.5000, 0.5000, 0.5000)  4 Ni 3.05, 8 Y 3.23
Ni (0.5000, 0.2477, 0.4495)  6 Y 2.72-2.86, 3 In 2.92-3.05
Ni (0.5000, 0.7523, 0.5505)  6 Y 2.72-2.86, 3 In 2.92-3.05
Ni (0.5000, 0.4495, 0.2477)  6 Y 2.72-2.86, 3 In 2.92-3.05
Ni (0.5000, 0.5505, 0.7523)  6 Y 2.72-2.86, 3 In 2.92-3.05

Calculated values
* symmetry: Cmmm
* DFT formation energy: -0.584 eV/atom
* magnetic moment: 0.00 μB per cell
* E: -5.856 eV per atom

---

Record 2
DFT (PBEsol) results for an optimized crystal structure of YIn3Ni.

Lattice parameters (Å, degrees): 4.8389 4.8389 4.8389 90.00 90.00 90.00
Last column: nearest neighbours and their distance in Å.
Fractional coordinates of all 5 atoms:
Y (0.5000, 0.5000, 0.5000)  12 In 3.42
Ni (0.0000, 0.0000, 0.0000)  6 In 2.42
In (0.0000, 0.5000, 0.0000)  2 Ni 2.42
In (0.0000, 0.0000, 0.5000)  2 Ni 2.42
In (0.5000, 0.0000, 0.0000)  2 Ni 2.42

Calculated values
* symmetry: Pm-3m
* DFT formation energy: -0.186 eV/atom
* magnetic moment: 0.00 μB per cell
* E: -4.571 eV per atom

---

Record 3
DFT (PBEsol) results for an optimized crystal structure of YIn2Ni9.

Lattice parameters (Å, degrees): 4.7719 8.1080 8.1080 90.00 90.00 90.00
Last column: nearest neighbours and their distance in Å.
Fractional coordinates of all 24 atoms:
In (0.0000, 0.1247, 0.6247)  12 Ni 2.57-2.79, 1 In 2.86
In (0.0000, 0.8753, 0.3753)  12 Ni 2.57-2.79, 1 In 2.86
In (0.0000, 0.3753, 0.1247)  12 Ni 2.57-2.79, 1 In 2.86
In (0.0000, 0.6247, 0.8753)  12 Ni 2.57-2.79, 1 In 2.86
Ni (0.5000, 0.0000, 0.5000)  8 Ni 2.35-2.44
Ni (0.5000, 0.5000, 0.0000)  8 Ni 2.35-2.44
Ni (0.5000, 0.2064, 0.0639)  8 Ni 2.43-2.63
Ni (0.5000, 0.7936, 0.9361)  8 Ni 2.43-2.63
Ni (0.5000, 0.9361, 0.2064)  8 Ni 2.43-2.63
Ni (0.5000, 0.0639, 0.7936)  8 Ni 2.43-2.63
Ni (0.5000, 0.2936, 0.5639)  8 Ni 2.43-2.63
Ni (0.5000, 0.7064, 0.4361)  8 Ni 2.43-2.63
Ni (0.5000, 0.5639, 0.7064)  8 Ni 2.43-2.63
Ni (0.5000, 0.4361, 0.2936)  8 Ni 2.43-2.63
Ni (0.2488, 0.3235, 0.8235)  7 Ni 2.35-2.48, 1 In 2.57
Ni (0.2488, 0.6765, 0.1765)  7 Ni 2.35-2.48, 1 In 2.57
Ni (0.2488, 0.1765, 0.3235)  7 Ni 2.35-2.48, 1 In 2.57
Ni (0.2488, 0.8235, 0.6765)  7 Ni 2.35-2.48, 1 In 2.57
Ni (0.7512, 0.1765, 0.3235)  7 Ni 2.35-2.48, 1 In 2.57
Ni (0.7512, 0.8235, 0.6765)  7 Ni 2.35-2.48, 1 In 2.57
Ni (0.7512, 0.3235, 0.8235)  7 Ni 2.35-2.48, 1 In 2.57
Ni (0.7512, 0.6765, 0.1765)  7 Ni 2.35-2.48, 1 In 2.57
Y (0.0000, 0.0000, 0.0000)  16 Ni 2.96-3.22, 4 In 3.21
Y (0.0000, 0.5000, 0.5000)  16 Ni 2.96-3.22, 4 In 3.21

Calculated values
* symmetry: P4/mbm
* DFT formation energy: -0.241 eV/atom
* magnetic moment: 2.24 μB per cell
* E: -5.924 eV per atom

---

Record 4
DFT (PBEsol) results for an optimized crystal structure of Y2InNi.

Lattice parameters (Å, degrees): 4.2632 4.2632 5.6657 112.10 112.10 90.00
Last column: nearest neighbours and their distance in Å.
Fractional coordinates of all 4 atoms:
In (0.5000, 0.5000, 0.0000)  8 Y 3.01-3.21, 4 Ni 3.21
Ni (0.2500, 0.7500, 0.5000)  8 Y 3.01-3.21, 4 In 3.21
Y (0.0000, 0.0000, 0.0000)  4 In 3.01, 4 Y 3.21, 4 Ni 3.21
Y (0.7500, 0.2500, 0.5000)  4 Ni 3.01, 4 In 3.21, 4 Y 3.21

Calculated values
* symmetry: I-4m2
* DFT formation energy: -0.192 eV/atom
* magnetic moment: 0.00 μB per cell
* E: -5.888 eV per atom

---

Q: Which of these has the highest E?
A: YIn3Ni